[1]
SmYHo2Th: relaxed, PBE.

a = 8.509 Å, b = 6.414 Å, c = 6.313 Å
α = 90.00°, β = 98.21°, γ = 90.00°
Positions (direct):
Sm 0.000 0.000 0.000
Sm 0.000 0.000 0.500
Y 0.500 0.178 0.250
Y 0.500 0.822 0.750
Ho 0.313 0.310 0.707
Ho 0.313 0.690 0.207
Ho 0.687 0.310 0.793
Ho 0.687 0.690 0.293
Th 0.000 0.447 0.250
Th 0.000 0.553 0.750

Values from the calculation:
The value obtained for the spin magnetization is 0.00 μB per formula unit. The total DFT energy (no corrections) comes out at -5.227 eV per atom. As for the symmetry: P2/c. The calculated volume comes out at 340.96 Å³/cell. Its density of states at the Fermi level is 6.8 states/eV/f.u.

[2]
SmYHo3Th: relaxed, PBE.

a = 10.661 Å, b = 3.569 Å, c = 10.662 Å
α = 90.00°, β = 109.17°, γ = 90.00°
Positions (direct):
Sm 0.128 0.250 0.129
Sm 0.872 0.750 0.871
Y 0.293 0.250 0.622
Y 0.707 0.750 0.378
Ho 0.041 0.750 0.375
Ho 0.209 0.750 0.875
Ho 0.458 0.250 0.126
Ho 0.542 0.750 0.874
Ho 0.791 0.250 0.125
Ho 0.959 0.250 0.625
Th 0.378 0.750 0.376
Th 0.622 0.250 0.624

Values from the calculation:
The value obtained for the spin magnetization is 0.00 μB per formula unit. The total DFT energy (no corrections) comes out at -5.364 eV per atom. As for the symmetry: P2_1/m. The calculated volume comes out at 383.09 Å³/cell. Its density of states at the Fermi level is 8.5 states/eV/f.u.

[3]
Sm2Y3Ho6Th: relaxed, PBE.

a = 6.171 Å, b = 6.171 Å, c = 11.782 Å
α = 95.01°, β = 95.01°, γ = 119.95°
Positions (direct):
Sm 0.167 0.833 0.000
Sm 0.833 0.167 0.000
Y 0.000 0.000 0.500
Y 0.333 0.667 0.500
Y 0.667 0.333 0.500
Ho 0.086 0.416 0.750
Ho 0.255 0.255 0.250
Ho 0.416 0.086 0.750
Ho 0.584 0.914 0.250
Ho 0.745 0.745 0.750
Ho 0.914 0.584 0.250
Th 0.500 0.500 0.000

Values from the calculation:
The value obtained for the spin magnetization is 0.00 μB per formula unit. The total DFT energy (no corrections) comes out at -5.281 eV per atom. As for the symmetry: C2/m. The calculated volume comes out at 382.78 Å³/cell. Its density of states at the Fermi level is 16.4 states/eV/f.u.

[4]
Sm3YHo6Th2: relaxed, PBE.

a = 6.181 Å, b = 6.181 Å, c = 11.759 Å
α = 95.04°, β = 95.04°, γ = 119.97°
Positions (direct):
Sm 0.000 0.000 0.000
Sm 0.334 0.666 0.000
Sm 0.666 0.334 0.000
Y 0.500 0.500 0.500
Ho 0.080 0.417 0.254
Ho 0.245 0.245 0.747
Ho 0.417 0.080 0.254
Ho 0.583 0.920 0.746
Ho 0.755 0.755 0.253
Ho 0.920 0.583 0.746
Th 0.167 0.833 0.500
Th 0.833 0.167 0.500

Values from the calculation:
The value obtained for the spin magnetization is 0.00 μB per formula unit. The total DFT energy (no corrections) comes out at -5.223 eV per atom. As for the symmetry: C2/m. The calculated volume comes out at 383.11 Å³/cell. Its density of states at the Fermi level is 15.7 states/eV/f.u.

[5]
SmY2HoTh: relaxed, PBE.

a = 8.603 Å, b = 6.405 Å, c = 6.296 Å
α = 90.00°, β = 97.30°, γ = 90.00°
Positions (direct):
Sm 0.000 0.000 0.000
Sm 0.000 0.000 0.500
Y 0.313 0.308 0.211
Y 0.313 0.692 0.711
Y 0.687 0.308 0.289
Y 0.687 0.692 0.789
Ho 0.500 0.177 0.750
Ho 0.500 0.823 0.250
Th 0.000 0.448 0.750
Th 0.000 0.552 0.250

Values from the calculation:
The value obtained for the spin magnetization is 0.00 μB per formula unit. The total DFT energy (no corrections) comes out at -5.593 eV per atom. As for the symmetry: P2/c. The calculated volume comes out at 344.10 Å³/cell. Its density of states at the Fermi level is 6.8 states/eV/f.u.

[6]
Sm3Y6HoTh2: relaxed, PBE.

a = 6.213 Å, b = 6.213 Å, c = 11.830 Å
α = 95.03°, β = 95.03°, γ = 119.97°
Positions (direct):
Sm 0.000 0.000 0.000
Sm 0.334 0.666 0.000
Sm 0.666 0.334 0.000
Y 0.081 0.418 0.254
Y 0.245 0.245 0.746
Y 0.418 0.081 0.254
Y 0.582 0.919 0.746
Y 0.755 0.755 0.254
Y 0.919 0.582 0.746
Ho 0.500 0.500 0.500
Th 0.167 0.833 0.500
Th 0.833 0.167 0.500

Values from the calculation:
The value obtained for the spin magnetization is 0.00 μB per formula unit. The total DFT energy (no corrections) comes out at -6.010 eV per atom. As for the symmetry: C2/m. The calculated volume comes out at 389.44 Å³/cell. Its density of states at the Fermi level is 16.3 states/eV/f.u.